[1]
Below is a geometry-optimized NiBiH2Cl structure, with properties calculated at the PBE-GGA level.

Cell: 3.5811 7.0829 3.5811 Å, 90.00 90.00 90.00°
Closest atoms and distances in Å follow each position.
Positions (direct):
H1 0.5000 0.0000 0.0000  2 Cl 1.79
H2 0.0000 0.0000 0.5000  2 Cl 1.79
Ni1 0.0000 0.5000 0.0000  4 Bi 2.53
Bi1 0.5000 0.5000 0.5000  4 Ni 2.53
Cl1 0.0000 0.0000 0.0000  4 H 1.79

Values from the calculation:
uncorrected energy: -3.023 eV/atom
SG: No. 123
spin magnetization: 0.00 μB per cell

[2]
Below is a geometry-optimized Ba2SrGa4 structure, with properties calculated at the PBE-GGA level.

Cell: 6.8143 6.5019 10.0759 Å, 108.82 96.61 90.00°
Closest atoms and distances in Å follow each position.
Positions (direct):
Ga1 0.7261 0.7101 0.8618  3 Ga 2.62-2.69
Ga2 0.9906 0.8015 0.7128  2 Ga 2.66-2.69
Ga3 0.0094 0.1985 0.2872  2 Ga 2.66-2.69
Ga4 0.5094 0.0887 0.2872  2 Ga 2.66-2.69
Ga5 0.4906 0.9113 0.7128  2 Ga 2.66-2.69
Ga6 0.7739 0.8484 0.1382  3 Ga 2.62-2.69
Ga7 0.2739 0.2899 0.1382  3 Ga 2.62-2.69
Ga8 0.2261 0.1516 0.8618  3 Ga 2.62-2.69
Ba1 0.1703 0.7747 0.3885  7 Ga 3.38-3.68, 2 Ba 3.56
Ba2 0.3297 0.3862 0.6115  7 Ga 3.38-3.68, 2 Ba 3.56
Ba3 0.6703 0.6138 0.3885  7 Ga 3.38-3.68, 2 Ba 3.56
Ba4 0.8297 0.2253 0.6115  7 Ga 3.38-3.68, 2 Ba 3.56
Sr1 0.7500 0.2655 0.0000  10 Ga 3.37-3.66
Sr2 0.2500 0.7345 0.0000  10 Ga 3.37-3.66

Values from the calculation:
SG: No. 15
DFT formation energy: -7.2 kcal/mol of atoms
spin magnetization: 0.00 μB per cell

[3]
Below is a geometry-optimized BaGe2Pt structure, with properties calculated at the PBE-GGA level.

Cell: 5.1572 5.1572 9.2358 Å, 73.79 73.79 90.00°
Closest atoms and distances in Å follow each position.
Positions (direct):
Pt1 0.7500 0.2500 0.5000  4 Ge 2.48
Pt2 0.0000 0.0000 0.0000  4 Ge 2.48
Ge1 0.3750 0.1248 0.7500  2 Pt 2.48, 2 Ge 2.58
Ge2 0.8750 0.1252 0.7500  2 Pt 2.48, 2 Ge 2.58
Ge3 0.8752 0.1250 0.2500  2 Pt 2.48, 2 Ge 2.58
Ge4 0.8748 0.6250 0.2500  2 Pt 2.48, 2 Ge 2.58
Ba1 0.2500 0.7500 0.5000  8 Ge 3.58, 4 Pt 3.65
Ba2 0.5000 0.5000 0.0000  8 Ge 3.58, 4 Pt 3.65

Values from the calculation:
SG: No. 141
DFT formation energy: -11.8 kcal/mol of atoms
spin magnetization: 0.00 μB per cell

[4]
Below is a geometry-optimized BaSbW2 structure, with properties calculated at the PBE-GGA level.

Cell: 6.2172 6.2172 2.9155 Å, 75.47 75.47 115.99°
Closest atoms and distances in Å follow each position.
Positions (direct):
W1 0.5000 0.5000 0.0000  4 W 2.92-3.20, 2 Sb 3.08, 2 Ba 3.08
W2 0.0000 0.0000 0.0000  4 W 2.92-3.20, 2 Ba 3.08, 2 Sb 3.08
Sb1 0.0000 0.5000 0.5000  2 Sb 2.92, 4 W 3.08, 2 Ba 3.20
Ba1 0.5000 0.0000 0.5000  2 Ba 2.92, 4 W 3.08, 2 Sb 3.20

Values from the calculation:
uncorrected energy: -6.639 eV/atom
SG: No. 12
spin magnetization: 0.00 μB per cell

[5]
Below is a geometry-optimized LaSm6Ho2Tm structure, with properties calculated at the PBE-GGA level.

Cell: 9.6146 8.8923 8.8923 Å, 117.05 93.28 93.28°
Closest atoms and distances in Å follow each position.
Positions (direct):
Sm1 0.3163 0.9904 0.4409  3 Sm 3.27-3.60, 2 Ho 3.46-3.64, 1 Tm 3.46, 1 La 3.60
Sm2 0.6171 0.4869 0.7066  4 Sm 3.27-3.56, 3 Ho 3.30-3.47, 2 Tm 3.44-3.56
Sm3 0.0560 0.1198 0.7552  7 Sm 3.46-3.78, 1 Ho 3.56, 2 La 3.73-3.84
Sm4 0.3829 0.5131 0.2934  4 Sm 3.27-3.56, 3 Ho 3.30-3.47, 2 Tm 3.44-3.56
Sm5 0.8829 0.2934 0.5131  4 Sm 3.27-3.56, 3 Ho 3.30-3.47, 2 Tm 3.44-3.56
Sm6 0.9440 0.8802 0.2448  7 Sm 3.46-3.78, 1 Ho 3.56, 2 La 3.73-3.84
Sm7 0.4440 0.2448 0.8802  7 Sm 3.46-3.78, 1 Ho 3.56, 2 La 3.73-3.84
Sm8 0.6837 0.0096 0.5591  3 Sm 3.27-3.60, 2 Ho 3.46-3.64, 1 Tm 3.46, 1 La 3.60
Sm9 0.5560 0.7552 0.1198  7 Sm 3.46-3.78, 1 Ho 3.56, 2 La 3.73-3.84
Sm10 0.1837 0.5591 0.0096  3 Sm 3.27-3.60, 2 Ho 3.46-3.64, 1 Tm 3.46, 1 La 3.60
Sm11 0.8163 0.4409 0.9904  3 Sm 3.27-3.60, 2 Ho 3.46-3.64, 1 Tm 3.46, 1 La 3.60
Sm12 0.1171 0.7066 0.4869  4 Sm 3.27-3.56, 3 Ho 3.30-3.47, 2 Tm 3.44-3.56
La1 0.2500 0.9706 0.0294  4 Ho 3.43-3.53, 4 Sm 3.60-3.73
La2 0.7500 0.0294 0.9706  4 Ho 3.43-3.53, 4 Sm 3.60-3.73
Ho1 0.4505 0.7970 0.6955  6 Sm 3.30-3.64, 2 La 3.43-3.53, 1 Tm 3.53
Ho2 0.9505 0.6955 0.7970  6 Sm 3.30-3.64, 2 La 3.43-3.53, 1 Tm 3.53
Ho3 0.5495 0.2030 0.3045  6 Sm 3.30-3.64, 2 La 3.43-3.53, 1 Tm 3.53
Ho4 0.0495 0.3045 0.2030  6 Sm 3.30-3.64, 2 La 3.43-3.53, 1 Tm 3.53
Tm1 0.7500 0.5892 0.4108  6 Sm 3.44-3.56, 2 Ho 3.53
Tm2 0.2500 0.4108 0.5892  6 Sm 3.44-3.56, 2 Ho 3.53

Values from the calculation:
SG: No. 15
DFT formation energy: 2.7 kcal/mol of atoms
spin magnetization: 0.00 μB per cell

[6]
Below is a geometry-optimized CrCo2Mo structure, with properties calculated at the PBE-GGA level.

Cell: 4.1614 4.1614 4.1614 Å, 60.00 60.00 60.00°
Closest atoms and distances in Å follow each position.
Positions (direct):
Mo1 0.5000 0.5000 0.5000  8 Co 2.55
Co1 0.7500 0.7500 0.7500  4 Cr 2.55, 4 Mo 2.55
Co2 0.2500 0.2500 0.2500  4 Cr 2.55, 4 Mo 2.55
Cr1 0.0000 0.0000 0.0000  8 Co 2.55

Values from the calculation:
SG: No. 225
DFT formation energy: 4.2 kcal/mol of atoms
spin magnetization: 5.59 μB per cell
offset from the most stable computed form: 0.144 eV per atom